! PBE-GGA LaSc2Rh, relaxed; values from VASP
&SYSTEM
  ibrav = 0, nat = 4, ntyp = 3
/
ATOMIC_SPECIES
La 138.91 La.upf
Sc 44.96 Sc.upf
Rh 102.91 Rh.upf
CELL_PARAMETERS angstrom
-1.691 2.613 5.458
1.691 -2.613 5.458
1.691 2.613 -5.458
ATOMIC_POSITIONS angstrom
La 0.000 0.000 0.000
Sc 1.691 0.000 3.274
Sc 0.000 2.613 2.184
Rh 0.000 0.000 5.458
! E_form: -385 meV/atom
! final energy: -6.620 eV/atom